{
  "formula": "Co2IrCl",
  "functional": "GGA-PBE",
  "state": "relaxed",
  "e_form_raw_ev_per_atom": 0.78,
  "n_ef_per_ev_atom": 1.33,
  "lattice_angstrom": [[-2.882, 2.882, 4.007], [2.882, -2.882, 4.007], [2.882, 2.882, -4.007]],
  "species": ["Co", "Co", "Co", "Co", "Ir", "Ir", "Cl", "Cl"],
  "frac_coords": [[0.122, 0.625, 0.997], [0.375, 0.372, 0.497], [0.628, 0.125, 0.003], [0.875, 0.878, 0.503], [0.250, 0.750, 0.500], [0.500, 0.500, 0.000], [0.000, 0.000, 0.000], [0.750, 0.250, 0.500]]
}